[1]
Here is a relaxed BaScMn2O8 crystal from Alexandria via LeMat-Bulk. Energies are from PBE+U.

Cell lengths 5.5539, 5.5539, 7.4721 Å; angles 90.00, 90.00, 120.00 degrees
Closest atoms and distances in Å follow each position.
Space group P-3 (No. 147)
Unique sites:
Ba1 0.0000 0.0000 0.0000 [1 per cell]  6 O 2.86
Sc1 0.0000 0.0000 0.5000 [1 per cell]  6 O 2.09
Mn1 0.3333 0.6667 0.7514 [2 per cell]  4 O 1.66-1.70
O1 0.1599 0.3311 0.6814 [6 per cell]  1 Mn 1.70
O2 0.3333 0.6667 0.9736 [2 per cell]  1 Mn 1.66

Values from the calculation:
final energy = -6.9848 eV/atom
magnetization = 0.250 μB per atom

[2]
Here is a relaxed Mn3Cr3Te2O16 crystal from Alexandria via LeMat-Bulk. Energies are from PBE+U.

Cell lengths 10.3295, 5.9838, 9.2037 Å; angles 90.00, 90.41, 90.00 degrees
Closest atoms and distances in Å follow each position.
Space group Cm (No. 8)
Unique sites:
Mn1 0.0000 0.0000 0.0000 [2 per cell]  6 O 1.90-2.03
Mn2 0.0865 0.2517 0.5012 [4 per cell]  6 O 1.91-2.08
Cr1 0.2530 0.2535 0.9999 [4 per cell]  6 O 1.97-2.06
Cr2 0.3401 0.0000 0.4990 [2 per cell]  6 O 1.98-2.06
Te1 0.0012 0.5000 0.2212 [2 per cell]  6 O 1.93-2.00
Te2 0.3345 0.5000 0.7238 [2 per cell]  6 O 1.94-2.02
O1 0.0099 0.5000 0.5993 [2 per cell]  2 Mn 1.91, 1 Cr 1.98
O2 0.0808 0.2573 0.1117 [4 per cell]  1 Te 1.95, 1 Mn 2.03, 1 Cr 2.06
O3 0.1496 0.5000 0.3599 [2 per cell]  1 Te 1.99, 2 Mn 2.08
O4 0.1640 0.0000 0.9067 [2 per cell]  1 Mn 1.90, 2 Cr 1.97
O5 0.1652 0.0000 0.4094 [2 per cell]  2 Mn 1.91, 1 Cr 1.98
O6 0.1906 0.5000 0.8643 [2 per cell]  1 Te 1.98, 2 Cr 2.03
O7 0.2565 0.2572 0.6136 [4 per cell]  1 Te 1.94, 1 Mn 2.03, 1 Cr 2.06
O8 0.3395 0.0000 0.1150 [2 per cell]  1 Te 1.93, 2 Cr 2.05
O9 0.3408 0.5000 0.1018 [2 per cell]  1 Mn 1.90, 2 Cr 1.97
O10 0.4110 0.2838 0.8687 [4 per cell]  1 Mn 1.99, 1 Te 2.02, 1 Cr 2.05
O11 0.4301 0.2176 0.3659 [4 per cell]  1 Te 2.00, 1 Cr 2.02, 1 Mn 2.04
O12 0.4930 0.5000 0.6120 [2 per cell]  1 Te 1.94, 2 Mn 2.06

Values from the calculation:
final energy = -6.8207 eV/atom
magnetization = 0.792 μB per atom

> Which of these has the lowest magnetization?

BaScMn2O8

> Number 1 is which compound?

BaScMn2O8

> Which formula does entry 2 have?

Mn3Cr3Te2O16